A relaxed KGaC crystal, computed with GGA-PBE.

Calculated values
Its total energy is -4.143 eV/atom. Its energy of formation from the pure elements is 29.6 kJ/mol of atoms.

Lattice parameters (Å, degrees): 5.438 4.587 7.221 92.48 69.91 111.61
Positions (direct):
1 Ga 0.472 0.642 0.839
2 Ga 0.706 0.251 0.853
3 K 0.933 0.900 0.160
4 K 0.236 0.030 0.539
5 C 0.718 0.517 0.579
6 C 0.868 0.374 0.468